# 1
# NaCdAg, optimized geometry, DFT GGA-PBE
# Offset from the most stable computed form (meV per atom): 0.0
# Magnetic moment (μB/f.u.): 0.000
# Energy of formation (eV per atom): -0.110
# VASP energy (eV/atom): -1.805
# Mass density (kg/m3): 5818
data_NaCdAg
_chemical_formula_sum 'Na4 Cd4 Ag4'
_cell_length_a 5.816
_cell_length_b 5.818
_cell_length_c 8.208
_cell_angle_alpha 90.00
_cell_angle_beta 90.00
_cell_angle_gamma 90.00
_space_group_name_H-M_alt 'I m m a'
_space_group_IT_number 74
_space_group_name_Hall '-I 2b 2'
loop_
_atom_site_label
_atom_site_fract_x
_atom_site_fract_y
_atom_site_fract_z
Na1 0.000 0.250 0.129
Cd1 0.250 0.250 0.750
Ag1 0.000 0.000 0.500

# 2
# Re2PtRh2, optimized geometry, DFT GGA-PBE
# Offset from the most stable computed form (meV per atom): 0.0
# Magnetic moment (μB/f.u.): 0.000
# Energy of formation (eV per atom): -0.089
# VASP energy (eV/atom): -9.217
# Mass density (kg/m3): 16875
data_Re2PtRh2
_chemical_formula_sum 'Re4 Pt2 Rh4'
_cell_length_a 4.407
_cell_length_b 12.606
_cell_length_c 2.739
_cell_angle_alpha 90.00
_cell_angle_beta 90.00
_cell_angle_gamma 90.00
_space_group_name_H-M_alt 'C m m m'
_space_group_IT_number 65
_space_group_name_Hall '-C 2 2'
loop_
_atom_site_label
_atom_site_fract_x
_atom_site_fract_y
_atom_site_fract_z
Re1 0.000 0.190 0.000
Pt1 0.000 0.000 0.500
Rh1 0.000 0.373 0.500

# 3
# FeSiRu, optimized geometry, DFT GGA-PBE
# Magnetic moment (μB/f.u.): 2.593
# VASP energy (eV/atom): -7.702
# Formation energy without anion corrections (eV/atom): 0.02
# Mass density (kg/m3): 7889
data_FeSiRu
_chemical_formula_sum 'Fe4 Si4 Ru4'
_cell_length_a 3.020
_cell_length_b 4.485
_cell_length_c 11.499
_cell_angle_alpha 90.00
_cell_angle_beta 90.00
_cell_angle_gamma 90.00
_space_group_name_H-M_alt 'F m m 2'
_space_group_IT_number 42
_space_group_name_Hall 'F 2 -2'
loop_
_atom_site_label
_atom_site_fract_x
_atom_site_fract_y
_atom_site_fract_z
Fe1 0.000 0.000 0.000
Si1 0.000 0.000 0.344
Ru1 0.000 0.000 0.684

Repeat the third record exactly.
# FeSiRu, optimized geometry, DFT GGA-PBE
# Magnetic moment (μB/f.u.): 2.593
# VASP energy (eV/atom): -7.702
# Formation energy without anion corrections (eV/atom): 0.02
# Mass density (kg/m3): 7889
data_FeSiRu
_chemical_formula_sum 'Fe4 Si4 Ru4'
_cell_length_a 3.020
_cell_length_b 4.485
_cell_length_c 11.499
_cell_angle_alpha 90.00
_cell_angle_beta 90.00
_cell_angle_gamma 90.00
_space_group_name_H-M_alt 'F m m 2'
_space_group_IT_number 42
_space_group_name_Hall 'F 2 -2'
loop_
_atom_site_label
_atom_site_fract_x
_atom_site_fract_y
_atom_site_fract_z
Fe1 0.000 0.000 0.000
Si1 0.000 0.000 0.344
Ru1 0.000 0.000 0.684

> Which of these has the lowest mass density?

NaCdAg

> Look up the mass density of the first one.

5818 kg/m3

> The highest VASP energy belongs to which entry?

NaCdAg